1.
Entry from Alexandria: an optimized crystal structure of TaCu2 (PBE).

It has space group P4/mmm (No. 123), with a = 4.610 Å, b = 4.610 Å, c = 2.640 Å, α = 90.00°, β = 90.00° and γ = 90.00°. The asymmetric unit holds Ta at (0.000, 0.000, 0.000) and Cu at (0.000, 0.500, 0.500).

Its energy of formation from the pure elements is 0.69 eV/atom. As for the electronic total energy: -18.0 eV/cell.


2.
Entry from Alexandria: an optimized crystal structure of TiCu2RuW (PBE).

It has space group P4/mmm (No. 123), with a = 4.399 Å, b = 4.399 Å, c = 4.496 Å, α = 90.00°, β = 90.00° and γ = 90.00°. The asymmetric unit holds Ti at (0.000, 0.000, 0.000), Cu at (0.000, 0.500, 0.000), Ru at (0.500, 0.500, 0.500) and W at (0.000, 0.000, 0.500).

Its energy of formation from the pure elements is 1.76 eV/atom. As for the electronic total energy: -29.5 eV/cell.


3.
Entry from Alexandria: an optimized crystal structure of ErAlGa2S6 (PBE).

It has space group C2/c (No. 15), with a = 12.556 Å, b = 11.668 Å, c = 6.779 Å, α = 90.00°, β = 110.16° and γ = 90.00°. The asymmetric unit holds Er at (0.000, 0.119, 0.250), Al at (0.000, 0.197, 0.750), Ga at (0.175, 0.430, 0.207), S at (0.117, 0.070, 0.658), S at (0.122, 0.248, 0.069) and S at (0.132, 0.414, 0.503).

The calculation puts the raw formation energy at -1.020 eV per atom. As for the electronic total energy: -197.3 eV/cell.


4.
Entry from Alexandria: an optimized crystal structure of Ac4SnHg2 (PBE).

It has space group I-42d (No. 122), with a = 10.190 Å, b = 10.190 Å, c = 9.874 Å, α = 90.00°, β = 90.00° and γ = 90.00°. The asymmetric unit holds Ac at (0.068, 0.677, 0.446), Sn at (0.000, 0.000, 0.500) and Hg at (0.129, 0.750, 0.125).

Its energy of formation from the pure elements is -0.43 eV/atom. The polymorph energy (0 for the lowest one) comes out at 0.0 kJ per mole of atoms. As for the electronic total energy: -96.3 eV/cell.


5.
Entry from Alexandria: an optimized crystal structure of KCaP2S (PBE).

It has space group P4/mmm (No. 123), with a = 5.193 Å, b = 5.193 Å, c = 5.365 Å, α = 90.00°, β = 90.00° and γ = 90.00°. The asymmetric unit holds K at (0.000, 0.000, 0.000), Ca at (0.500, 0.500, 0.500), P at (0.000, 0.500, 0.000) and S at (0.000, 0.000, 0.500).

The polymorph energy (0 for the lowest one) comes out at 62.3 kJ per mole of atoms. The calculation puts the raw formation energy at 0.833 eV per atom. As for the electronic total energy: -13.9 eV/cell.


6.
Entry from Alexandria: an optimized crystal structure of Pu4Te2PSe (PBE).

It has space group P2/m (No. 10), with a = 7.337 Å, b = 4.223 Å, c = 7.454 Å, α = 90.00°, β = 109.54° and γ = 90.00°. The asymmetric unit holds Pu at (0.231, 0.000, 0.220), Pu at (0.251, 0.500, 0.776), Te at (0.000, 0.000, 0.500), Te at (0.500, 0.500, 0.500), P at (0.000, 0.500, 0.000) and Se at (0.500, 0.000, 0.000).

The calculation puts the raw formation energy at -1.177 eV per atom. As for the electronic total energy: -81.9 eV/cell.


7.
Entry from Alexandria: an optimized crystal structure of TaV2Te6 (PBE).

It has space group C2/c (No. 15), with a = 14.173 Å, b = 12.063 Å, c = 6.791 Å, α = 90.00°, β = 99.05° and γ = 90.00°. The asymmetric unit holds Ta at (0.000, 0.086, 0.250), V at (0.194, 0.418, 0.293), Te at (0.115, 0.084, 0.626), Te at (0.116, 0.244, 0.123) and Te at (0.120, 0.409, 0.612).

The polymorph energy (0 for the lowest one) comes out at 32.5 kJ per mole of atoms. The calculation puts the raw formation energy at 0.017 eV per atom. As for the electronic total energy: -195.1 eV/cell.


8.
Entry from Alexandria: an optimized crystal structure of LaVCoAu2 (PBE).

It has space group P4/mmm (No. 123), with a = 4.992 Å, b = 4.992 Å, c = 4.200 Å, α = 90.00°, β = 90.00° and γ = 90.00°. The asymmetric unit holds La at (0.000, 0.000, 0.000), V at (0.500, 0.500, 0.000), Co at (0.500, 0.500, 0.500) and Au at (0.000, 0.500, 0.500).

Its energy of formation from the pure elements is -0.01 eV/atom. As for the electronic total energy: -27.7 eV/cell.


9.
Entry from Alexandria: an optimized crystal structure of Mn2Tl2V (PBE).

It has space group I4/mmm (No. 139), with a = 3.214 Å, b = 3.214 Å, c = 17.397 Å, α = 90.00°, β = 90.00° and γ = 90.00°. The asymmetric unit holds Mn at (0.000, 0.500, 0.250), Tl at (0.000, 0.000, 0.113) and V at (0.000, 0.000, 0.500).

Its energy of formation from the pure elements is 0.77 eV/atom. The polymorph energy (0 for the lowest one) comes out at 11.8 kJ per mole of atoms. As for the electronic total energy: -56.6 eV/cell.


10.
Entry from Alexandria: an optimized crystal structure of SbAuI2 (PBE).

It has space group P-1 (No. 2), with a = 4.324 Å, b = 4.797 Å, c = 8.071 Å, α = 100.97°, β = 90.07° and γ = 116.66°. The asymmetric unit holds Sb at (0.000, 0.000, 0.000), Au at (0.500, 0.000, 0.500) and I at (0.338, 0.676, 0.744).

The polymorph energy (0 for the lowest one) comes out at 0.0 kJ per mole of atoms. The calculation puts the raw formation energy at 0.200 eV per atom. As for the electronic total energy: -9.7 eV/cell.


11.
Entry from Alexandria: an optimized crystal structure of ScTaH3 (PBE).

It has space group Pm-3m (No. 221), with a = 3.648 Å, b = 3.648 Å, c = 3.648 Å, α = 90.00°, β = 90.00° and γ = 90.00°. The asymmetric unit holds Sc at (0.000, 0.000, 0.000), Ta at (0.500, 0.500, 0.500) and H at (0.000, 0.500, 0.500).

The polymorph energy (0 for the lowest one) comes out at 0.0 kJ per mole of atoms. As for the electronic total energy: -29.1 eV/cell.


12.
Entry from Alexandria: an optimized crystal structure of RbAl2CoIr (PBE).

It has space group P4/mmm (No. 123), with a = 4.777 Å, b = 4.777 Å, c = 6.237 Å, α = 90.00°, β = 90.00° and γ = 90.00°. The asymmetric unit holds Rb at (0.000, 0.000, 0.000), Al at (0.000, 0.500, 0.500), Co at (0.500, 0.500, 0.000) and Ir at (0.000, 0.000, 0.500).

Its energy of formation from the pure elements is 0.81 eV/atom. As for the electronic total energy: -20.4 eV/cell.